Entry 1:
{
  "formula": "LiCaSe",
  "functional": "PBE",
  "state": "optimized geometry",
  "crystal_system": "orthorhombic",
  "magnetic_moment_mub_per_cell": 2.06,
  "e_form_raw_ev_per_atom": -1.096,
  "cell": [[7.1666, 0.0000, 0.0000], [3.5833, 8.3552, 1.0029], [3.5833, 3.7279, 7.5444]],
  "species": ["Ca", "Ca", "Ca", "Ca", "Ca", "Ca", "Li", "Li", "Li", "Li", "Li", "Li", "Se", "Se", "Se", "Se", "Se", "Se"],
  "fractional_positions": [[0.2610, 0.9671, 0.4671], [0.6953, 0.0329, 0.5329], [0.7480, 0.5146, 0.0146], [0.2772, 0.4854, 0.9854], [0.8560, 0.2546, 0.7546], [0.8653, 0.7454, 0.2454], [0.4329, 0.5000, 0.5000], [0.4329, 0.0000, 0.0000], [0.2392, 0.9252, 0.8463], [0.0108, 0.0748, 0.1537], [0.0108, 0.6537, 0.5748], [0.2392, 0.3463, 0.4252], [0.3373, 0.6580, 0.1580], [0.1533, 0.3420, 0.8420], [0.6170, 0.6528, 0.6456], [0.9154, 0.3472, 0.3544], [0.9154, 0.8544, 0.8472], [0.6170, 0.1456, 0.1528]]
}

***

Entry 2:
{
  "formula": "KTlZn2",
  "functional": "PBE",
  "state": "optimized geometry",
  "crystal_system": "monoclinic",
  "magnetic_moment_mub_per_cell": 0.00,
  "e_form_ev_per_atom": 0.20,
  "cell": [[-7.3812, -0.6600, 3.8939], [1.1082, -1.4627, -4.7307], [-1.7884, -3.8542, 0.7872]],
  "species": ["K", "Tl", "Zn", "Zn"],
  "fractional_positions": [[0.0000, 0.5000, 0.5000], [0.5000, 0.5000, 0.0000], [0.0000, 0.0000, 0.0000], [0.5000, 0.0000, 0.5000]]
}

***

Entry 3:
{
  "formula": "Cd3TcCl",
  "functional": "PBE",
  "state": "optimized geometry",
  "crystal_system": "cubic",
  "magnetic_moment_mub_per_cell": 3.76,
  "e_form_raw_ev_per_atom": 1.169,
  "cell": [[-2.6220, -4.5085, 0.3261], [4.3999, -2.4590, 1.3793], [-1.0366, 0.9666, 5.0298]],
  "species": ["Cl", "Tc", "Cd", "Cd", "Cd"],
  "fractional_positions": [[0.0000, 0.0000, 0.0000], [0.5000, 0.5000, 0.5000], [0.0000, 0.5000, 0.0000], [0.0000, 0.0000, 0.5000], [0.5000, 0.0000, 0.0000]]
}

***

Entry 4:
{
  "formula": "Ta2ZnAs",
  "functional": "PBE",
  "state": "optimized geometry",
  "crystal_system": "tetragonal",
  "magnetic_moment_mub_per_cell": 0.00,
  "e_form_ev_per_atom": 0.10,
  "cell": [[3.7179, 0.0000, 0.0000], [0.0000, 4.2138, 0.0000], [0.0000, 0.0000, 4.2138]],
  "species": ["As", "Ta", "Ta", "Zn"],
  "fractional_positions": [[0.5000, 0.0000, 0.5000], [0.0000, 0.0000, 0.0000], [0.0000, 0.5000, 0.5000], [0.5000, 0.5000, 0.0000]]
}

***

Number 1: V 23.61 Å³ per atom, DOS at the Fermi energy 4.702 states/eV per cell. Number 2: V 27.81 Å³ per atom, DOS at the Fermi energy 2.283 states/eV per cell. Number 3: V 28.54 Å³ per atom, DOS at the Fermi energy 6.340 states/eV per cell. Number 4: V 16.50 Å³ per atom, DOS at the Fermi energy 2.718 states/eV per cell.